(1)
A plane-wave DFT calculation with meta-GGA SCAN was carried out for a PBEsol-optimized structure of TaZn3Re.

The structure in CIF format:
```
data_TaZn3Re
_chemical_formula_sum 'Ta1 Zn3 Re1'
_cell_length_a 4.591
_cell_length_b 4.591
_cell_length_c 4.591
_cell_angle_alpha 90.00
_cell_angle_beta 90.00
_cell_angle_gamma 90.00
_space_group_name_H-M_alt 'P m -3 m'
_space_group_IT_number 221
_space_group_name_Hall '-P 4 2 3'
loop_
_atom_site_label
_atom_site_fract_x
_atom_site_fract_y
_atom_site_fract_z
Ta1 0.000 0.000 0.000
Zn1 0.000 0.500 0.500
Re1 0.500 0.500 0.500
```

Summary:
Fermi-level density of states (states/eV/cell): 5.58
Final energy (eV per atom): -34.144
Total magnetic moment (μB/atom): 0.357
Formation energy from the elements (eV/atom): 1.50

***

(2)
A plane-wave DFT calculation with meta-GGA SCAN was carried out for a PBEsol-optimized structure of CaZrSi.

The structure in CIF format:
```
data_CaZrSi
_chemical_formula_sum 'Ca2 Zr2 Si2'
_cell_length_a 3.644
_cell_length_b 3.644
_cell_length_c 11.139
_cell_angle_alpha 90.00
_cell_angle_beta 90.00
_cell_angle_gamma 90.00
_space_group_name_H-M_alt 'I 4 m m'
_space_group_IT_number 107
_space_group_name_Hall 'I 4 -2'
loop_
_atom_site_label
_atom_site_fract_x
_atom_site_fract_y
_atom_site_fract_z
Ca1 0.000 0.000 0.000
Zr1 0.000 0.000 0.280
Si1 0.000 0.000 0.722
```

Summary:
Fermi-level density of states (states/eV/cell): 3.98
Final energy (eV per atom): -16.952
Total magnetic moment (μB/atom): 0.478
Formation energy (no corrections) (kcal/mol of atoms): -3.7

***

(3)
A plane-wave DFT calculation with meta-GGA SCAN was carried out for a PBEsol-optimized structure of Rb2InAs.

The structure in CIF format:
```
data_Rb2InAs
_chemical_formula_sum 'Rb8 In4 As4'
_cell_length_a 8.146
_cell_length_b 8.146
_cell_length_c 8.146
_cell_angle_alpha 90.00
_cell_angle_beta 90.00
_cell_angle_gamma 90.00
_space_group_name_H-M_alt 'F m -3 m'
_space_group_IT_number 225
_space_group_name_Hall '-F 4 2 3'
loop_
_atom_site_label
_atom_site_fract_x
_atom_site_fract_y
_atom_site_fract_z
Rb1 0.250 0.250 0.250
In1 0.000 0.000 0.000
As1 0.000 0.000 0.500
```

Summary:
Final energy (eV per atom): -23.825
Total magnetic moment (μB/atom): 0.000
Formation energy from the elements (eV/atom): -0.06